(1)
Entry from Alexandria: crystalline TcPtW3 at its relaxed geometry (PBE).

Summary:
- formation energy (eV/atom) = 2.39

a b c (Å): 4.715 4.715 4.715
angles (deg): 90.00 90.00 90.00
Sites, in units of the cell vectors:
Pt1 0.000 0.000 0.000
Tc1 0.500 0.500 0.500
W1 0.000 0.500 0.000
W2 0.500 0.000 0.000
W3 0.000 0.000 0.500

=====

(2)
Entry from Alexandria: crystalline TcPtW at its relaxed geometry (PBE).

Summary:
- formation energy (eV/atom) = 0.33

a b c (Å): 4.249 4.249 4.249
angles (deg): 60.00 60.00 60.00
Sites, in units of the cell vectors:
Pt1 0.000 0.000 0.000
W1 0.750 0.750 0.750
Tc1 0.500 0.500 0.500

=====

(3)
Entry from Alexandria: crystalline TcPt4W at its relaxed geometry (PBE).

Summary:
- formation energy (eV/atom) = -0.24

a b c (Å): 2.785 2.785 11.953
angles (deg): 90.02 90.00 90.00
Sites, in units of the cell vectors:
Tc1 0.000 0.000 0.000
Pt1 0.000 0.000 0.661
Pt2 0.000 0.000 0.339
Pt3 0.500 0.500 0.157
Pt4 0.500 0.500 0.843
W1 0.500 0.500 0.500

=====

(4)
Entry from Alexandria: crystalline TcPtW at its relaxed geometry (PBE).

Summary:
- formation energy (eV/atom) = -0.12

a b c (Å): 4.008 3.978 6.106
angles (deg): 90.00 109.16 90.00
Sites, in units of the cell vectors:
W1 0.091 0.250 0.182
W2 0.909 0.750 0.818
Pt1 0.582 0.750 0.164
Pt2 0.418 0.250 0.836
Tc1 0.750 0.250 0.500
Tc2 0.250 0.750 0.500

=====

no.,magnetization (μB/atom)
1,0.00
2,0.00
3,0.00
4,0.00